First-principles (PBE) data for a relaxed structure of MgTl2W, as listed in the Alexandria database.

Calculated values
- Calculated total energy: -0.27571 Ry/atom
- ΔE_f: 103.1 kJ per mole of atoms

The structure in CIF format:
```
data_MgTl2W
_symmetry_space_group_name_H-M 'F -4 3 m'
_symmetry_Int_Tables_number 216
_symmetry_space_group_name_Hall 'F -4 2 3'
_cell_length_a 7.205
_cell_length_b 7.205
_cell_length_c 7.205
_cell_angle_alpha 90.00
_cell_angle_beta 90.00
_cell_angle_gamma 90.00
loop_
_atom_site_label
_atom_site_type_symbol
_atom_site_fract_x
_atom_site_fract_y
_atom_site_fract_z
Mg1 Mg 0.000 0.000 0.000
Tl1 Tl 0.000 0.000 0.500
Tl2 Tl 0.250 0.250 0.750
W1 W 0.250 0.250 0.250
```

***

First-principles (PBE) data for a relaxed structure of MgTl2W, as listed in the Alexandria database.

Calculated values
- Calculated total energy: -0.28681 Ry/atom
- ΔE_f: 88.6 kJ per mole of atoms

The structure in CIF format:
```
data_MgTl2W
_symmetry_space_group_name_H-M 'F m -3 m'
_symmetry_Int_Tables_number 225
_symmetry_space_group_name_Hall '-F 4 2 3'
_cell_length_a 6.977
_cell_length_b 6.977
_cell_length_c 6.977
_cell_angle_alpha 90.00
_cell_angle_beta 90.00
_cell_angle_gamma 90.00
loop_
_atom_site_label
_atom_site_type_symbol
_atom_site_fract_x
_atom_site_fract_y
_atom_site_fract_z
Mg1 Mg 0.000 0.000 0.000
Tl1 Tl 0.250 0.250 0.250
W1 W 0.000 0.000 0.500
```

***

First-principles (PBE) data for a relaxed structure of Mg2TlW, as listed in the Alexandria database.

Calculated values
- Calculated total energy: -0.29721 Ry/atom
- ΔE_f: 56.3 kJ per mole of atoms

The structure in CIF format:
```
data_Mg2TlW
_symmetry_space_group_name_H-M 'I -4 m 2'
_symmetry_Int_Tables_number 119
_symmetry_space_group_name_Hall 'I -4 -2'
_cell_length_a 4.080
_cell_length_b 4.080
_cell_length_c 9.197
_cell_angle_alpha 90.00
_cell_angle_beta 90.00
_cell_angle_gamma 90.00
loop_
_atom_site_label
_atom_site_type_symbol
_atom_site_fract_x
_atom_site_fract_y
_atom_site_fract_z
Mg1 Mg 0.000 0.000 0.000
Mg2 Mg 0.000 0.500 0.250
Tl1 Tl 0.000 0.500 0.750
W1 W 0.000 0.000 0.500
```

***

First-principles (PBE) data for a relaxed structure of Mg2TlW2, as listed in the Alexandria database.

Calculated values
- Calculated total energy: -0.41387 Ry/atom
- ΔE_f: 63.8 kJ per mole of atoms

The structure in CIF format:
```
data_Mg2TlW2
_symmetry_space_group_name_H-M 'I 4/m m m'
_symmetry_Int_Tables_number 139
_symmetry_space_group_name_Hall '-I 4 2'
_cell_length_a 3.711
_cell_length_b 3.711
_cell_length_c 15.643
_cell_angle_alpha 90.00
_cell_angle_beta 90.00
_cell_angle_gamma 90.00
loop_
_atom_site_label
_atom_site_type_symbol
_atom_site_fract_x
_atom_site_fract_y
_atom_site_fract_z
Mg1 Mg 0.000 0.000 0.105
Tl1 Tl 0.000 0.000 0.500
W1 W 0.000 0.500 0.250
```

***

- What is the ΔE_f in the fourth record?
  63.8 kJ per mole of atoms